NaAlTcP2: relaxed, GGA-PBE.

```
5
Lattice="-3.712 1.031 -2.643 1.661 -2.995 -3.500 -2.354 -3.550 1.921" Properties=species:S:1:pos:R:3 pbc="T T T"
Tc 0.830 -1.497 -1.750
P -1.177 -1.775 0.960
P -1.856 0.515 -1.322
Na 0.000 0.000 0.000
Al -2.203 -2.757 -2.111
```

final energy: -3.48 eV/atom
total moment: 0.497 μB/atom

=====

CsTl2CdCo: relaxed, GGA-PBE.

```
5
Lattice="-0.699 -3.520 5.496 -0.051 -5.524 -3.545 4.780 -0.308 0.411" Properties=species:S:1:pos:R:3 pbc="T T T"
Co 2.390 -0.154 0.205
Cs 0.000 0.000 0.000
Cd 2.015 -4.676 1.181
Tl -0.350 -1.760 2.748
Tl -0.025 -2.762 -1.773
```

final energy: -1.40 eV/atom
total moment: 0.000 μB/atom
energy relative to the lowest polymorph listed for this composition: 1231 meV per atom

=====

PrNd12Tm7: relaxed, GGA-PBE.

```
20
Lattice="-0.967 -8.804 0.504 8.163 0.583 3.424 -4.589 2.203 7.265" Properties=species:S:1:pos:R:3 pbc="T T T"
Tm 4.847 -0.268 3.032
Tm -2.240 -5.750 8.161
Tm 1.304 -3.009 5.596
Tm 4.929 -6.661 6.001
Tm 2.893 -0.473 9.803
Tm -0.286 -5.545 1.390
Tm -2.322 0.643 5.192
Nd 4.661 -3.435 4.585
Nd 1.191 0.191 3.872
Nd 0.350 -0.111 7.377
Nd 3.707 -0.538 6.365
Nd -1.100 -5.480 4.827
Nd 2.257 -5.907 3.816
Nd -2.054 -2.583 6.608
Nd 2.155 -2.741 2.071
Nd 0.452 -3.277 9.122
Nd 3.848 -3.709 8.099
Nd 1.416 -6.209 7.321
Nd -1.241 -2.309 3.094
Pr 0.000 0.000 0.000
```

final energy: -4.57 eV/atom
total moment: 0.139 μB/atom
energy relative to the lowest polymorph listed for this composition: 0 meV per atom

=====

NbV2Br: relaxed, GGA-PBE.

```
8
Lattice="7.231 0.000 0.000 0.000 7.231 0.000 3.616 3.616 2.598" Properties=species:S:1:pos:R:3 pbc="T T T"
Br 3.616 7.231 1.299
Br 3.616 3.616 0.000
V 5.423 5.709 1.948
V 9.039 8.753 1.948
V 5.137 1.808 0.649
V 2.094 5.423 0.649
Nb 7.231 3.616 1.299
Nb 0.000 0.000 0.000
```

final energy: -6.65 eV/atom
formation energy from raw total energies: 0.844 eV per atom
total moment: 0.000 μB/atom
energy relative to the lowest polymorph listed for this composition: 91 meV per atom

=====

NiTe2Cl: relaxed, GGA-PBE.

```
4
Lattice="-0.148 -3.954 -5.649 4.522 -5.077 -1.160 -5.058 2.935 3.656" Properties=species:S:1:pos:R:3 pbc="T T T"
Te -1.690 -2.395 -2.419
Te 0.529 -1.091 -0.823
Ni 0.918 -3.521 -0.599
Cl 1.745 -3.604 -2.717
```

final energy: -3.64 eV/atom
formation energy from raw total energies: -0.163 eV per atom
total moment: 0.000 μB/atom

=====

KLiGaCu2: relaxed, GGA-PBE.

```
5
Lattice="4.744 0.000 0.000 0.000 4.785 0.000 0.000 0.000 4.744" Properties=species:S:1:pos:R:3 pbc="T T T"
K 2.372 2.392 2.372
Cu 0.000 0.000 2.372
Cu 2.372 0.000 0.000
Ga 0.000 2.392 0.000
Li 0.000 0.000 0.000
```

final energy: -2.40 eV/atom
total moment: 0.000 μB/atom